[1]
CsLi3Se (SCAN, PBEsol geometry); energy = -13.47 eV per atom; ΔE_f (raw) = -456 meV per atom
1.0
5.2554 0.0000 0.0000
0.0000 5.2554 0.0000
0.0000 0.0000 5.2554
Cs Li Se
1 3 1
Direct
0.0000 0.0000 0.0000
0.0000 0.5000 0.5000
0.5000 0.0000 0.5000
0.5000 0.5000 0.0000
0.5000 0.5000 0.5000

[2]
RbYPd2I (SCAN, PBEsol geometry); energy = -29.90 eV per atom; ΔE_f (raw) = 270 meV per atom
1.0
5.1436 0.0000 0.0000
0.0000 5.1436 0.0000
0.0000 0.0000 5.5453
Rb Y Pd I
1 1 2 1
Direct
0.0000 0.0000 0.0000
0.5000 0.5000 0.0000
0.0000 0.5000 0.5000
0.5000 0.0000 0.5000
0.5000 0.5000 0.5000

[3]
AgHg2Ir (SCAN, PBEsol geometry); energy = -59.28 eV per atom; energy above the most stable polymorph in this dataset = 0.010 eV per atom; ΔE_f = 1.7 eV per formula unit
1.0
4.3088 0.0000 0.0000
0.0000 4.3088 0.0000
0.0000 0.0000 7.5134
Ag Hg Ir
2 4 2
Direct
0.0000 0.0000 0.0000
0.5000 0.5000 0.5000
0.0000 0.5000 0.2500
0.0000 0.5000 0.7500
0.5000 0.0000 0.2500
0.5000 0.0000 0.7500
0.0000 0.0000 0.5000
0.5000 0.5000 0.0000

[4]
BaIr2 (SCAN, PBEsol geometry); energy = -60.82 eV per atom; ΔE_f = -0.7 eV per formula unit
1.0
4.2139 0.0000 0.0000
-2.1069 3.6493 0.0000
0.0000 0.0000 4.9224
Ba Ir
1 2
Direct
0.0000 0.0000 0.0000
0.3333 0.6667 0.5000
0.6667 0.3333 0.5000

[5]
Cd2Ru (SCAN, PBEsol geometry); energy = -31.56 eV per atom; ΔE_f = 1.0 eV per formula unit
1.0
2.8926 0.0000 0.0000
-1.4463 2.5051 0.0000
0.0000 0.0000 7.1462
Cd Ru
2 1
Direct
0.3333 0.6667 0.1845
0.6667 0.3333 0.8155
0.0000 0.0000 0.5000

[6]
Ni2S3O12 (SCAN, PBEsol geometry); energy = -9.35 eV per atom; ΔE_f (raw) = -1351 meV per atom; energy above the most stable polymorph in this dataset = 0.018 eV per atom
1.0
8.0272 0.0000 0.0000
0.0000 8.3727 0.0000
-7.8835 0.0000 11.3980
Ni S O
8 12 48
Direct
0.1282 0.0308 0.3813
0.1282 0.4692 0.8813
0.3626 0.0370 0.1089
0.3626 0.4630 0.6089
0.6374 0.5370 0.3911
0.6374 0.9630 0.8911
0.8718 0.5308 0.1187
0.8718 0.9692 0.6187
0.0359 0.6143 0.6422
0.0359 0.8857 0.1422
0.2647 0.1176 0.6557
0.2647 0.3824 0.1557
0.4498 0.7472 0.4901
0.4498 0.7528 0.9901
0.5502 0.2472 0.0099
0.5502 0.2528 0.5099
0.7353 0.6176 0.8443
0.7353 0.8824 0.3443
0.9641 0.1143 0.8578
0.9641 0.3857 0.3578
0.0420 0.7235 0.1844
0.0420 0.7765 0.6844
0.1164 0.0033 0.2367
0.1164 0.4967 0.7367
0.1368 0.0796 0.6973
0.1368 0.4204 0.1973
0.1584 0.6117 0.5919
0.1584 0.8883 0.0919
0.1700 0.0729 0.5336
0.1700 0.4271 0.0336
0.1832 0.0724 0.9475
0.1832 0.4276 0.4475
0.2465 0.6851 0.9355
0.2465 0.8149 0.4355
0.2882 0.2036 0.1702
0.2882 0.2964 0.6702
0.3921 0.1327 0.4458
0.3921 0.3673 0.9458
0.4448 0.6752 0.3883
0.4448 0.8248 0.8883
0.4611 0.0277 0.7259
0.4611 0.4723 0.2259
0.4924 0.6281 0.5814
0.4924 0.8719 0.0814
0.5076 0.1281 0.9186
0.5076 0.3719 0.4186
0.5389 0.5277 0.7741
0.5389 0.9723 0.2741
0.5552 0.1752 0.1117
0.5552 0.3248 0.6117
0.6079 0.6327 0.0542
0.6079 0.8673 0.5542
0.7118 0.7036 0.3298
0.7118 0.7964 0.8298
0.7535 0.1851 0.5645
0.7535 0.3149 0.0645
0.8168 0.5724 0.5525
0.8168 0.9276 0.0525
0.8300 0.5729 0.9664
0.8300 0.9271 0.4664
0.8416 0.1117 0.9081
0.8416 0.3883 0.4081
0.8632 0.5796 0.8027
0.8632 0.9204 0.3027
0.8836 0.5033 0.2633
0.8836 0.9967 0.7633
0.9580 0.2235 0.3156
0.9580 0.2765 0.8156

[7]
Sm3AlCoS7 (SCAN, PBEsol geometry); energy = -20.65 eV per atom; ΔE_f (raw) = -1834 meV per atom
1.0
9.7334 0.0000 0.0000
-4.8667 8.4294 0.0000
0.0000 0.0000 6.1726
Sm Al Co S
6 2 2 14
Direct
0.1503 0.7760 0.0000
0.2240 0.3743 0.0000
0.3743 0.1503 0.5000
0.6257 0.8497 0.0000
0.7760 0.6257 0.5000
0.8497 0.2240 0.5000
0.3333 0.6667 0.5753
0.6667 0.3333 0.0753
0.0000 0.0000 0.1635
0.0000 0.0000 0.6635
0.0894 0.8730 0.4076
0.0935 0.5195 0.7238
0.1270 0.2164 0.4076
0.2164 0.0894 0.9076
0.3333 0.6667 0.2137
0.4261 0.9065 0.7238
0.4805 0.5739 0.7238
0.5195 0.4261 0.2238
0.5739 0.0935 0.2238
0.6667 0.3333 0.7137
0.7836 0.9106 0.4076
0.8730 0.7836 0.9076
0.9065 0.4805 0.2238
0.9106 0.1270 0.9076

[8]
Hf3CoP (SCAN, PBEsol geometry); energy = -43.04 eV per atom; ΔE_f = 0.5 eV per formula unit
1.0
4.6502 0.0000 0.0000
0.0000 4.6502 0.0000
0.0000 0.0000 4.6502
Hf Co P
3 1 1
Direct
0.0000 0.0000 0.5000
0.0000 0.5000 0.0000
0.5000 0.0000 0.0000
0.0000 0.0000 0.0000
0.5000 0.5000 0.5000

[9]
Tm12Al7Si (SCAN, PBEsol geometry); energy = -34.72 eV per atom; ΔE_f (raw) = -404 meV per atom
1.0
-5.6694 5.6694 7.4413
5.6694 -5.6694 7.4413
5.6694 5.6694 -7.4413
Tm Al Si
24 14 2
Direct
0.0638 0.9265 0.2637
0.0735 0.3372 0.1373
0.1479 0.6479 0.5000
0.1628 0.4265 0.8627
0.1717 0.3283 0.5000
0.1999 0.9362 0.8627
0.3001 0.1628 0.7363
0.3283 0.8283 0.1566
0.3372 0.1999 0.2637
0.3521 0.8521 0.5000
0.4265 0.5638 0.2637
0.4362 0.6999 0.8627
0.5638 0.3001 0.1373
0.5735 0.4362 0.7363
0.6479 0.1479 0.5000
0.6628 0.8001 0.7363
0.6717 0.1717 0.8434
0.6999 0.8372 0.2637
0.8001 0.0638 0.1373
0.8283 0.6717 0.5000
0.8372 0.5735 0.1373
0.8521 0.3521 0.5000
0.9265 0.6628 0.8627
0.9362 0.0735 0.7363
0.0000 0.0000 0.0000
0.0260 0.8810 0.5000
0.1185 0.6185 0.7369
0.1190 0.6190 0.1450
0.3810 0.5260 0.5000
0.3815 0.1185 0.5000
0.4740 0.9740 0.8550
0.5000 0.5000 0.0000
0.5260 0.0260 0.1450
0.6185 0.8815 0.5000
0.6190 0.4740 0.5000
0.8810 0.3810 0.8550
0.8815 0.3815 0.2631
0.9740 0.1190 0.5000
0.2500 0.2500 0.0000
0.7500 0.7500 0.0000

[10]
TeP (SCAN, PBEsol geometry); energy = -23.34 eV per atom; ΔE_f (raw) = 484 meV per atom
1.0
3.5821 0.0000 0.0000
0.0000 7.1529 0.0000
0.0000 0.0000 8.3669
Te P
4 4
Direct
0.0000 0.2500 0.1914
0.0000 0.7500 0.8086
0.5000 0.2500 0.8086
0.5000 0.7500 0.1914
0.0000 0.2500 0.5993
0.0000 0.7500 0.4007
0.5000 0.2500 0.4007
0.5000 0.7500 0.5993

[11]
MgSnTeN2 (SCAN, PBEsol geometry); energy = -18.37 eV per atom; ΔE_f (raw) = 975 meV per atom
1.0
4.2665 0.0000 0.0000
0.0000 4.2665 0.0000
0.0000 0.0000 5.6175
Mg Sn Te N
1 1 1 2
Direct
0.0000 0.0000 0.0000
0.5000 0.5000 0.5000
0.0000 0.0000 0.5000
0.0000 0.5000 0.0000
0.5000 0.0000 0.0000

[12]
BeAlFe2 (SCAN, PBEsol geometry); energy = -11.82 eV per atom; ΔE_f = 1.1 eV per formula unit
1.0
3.3981 0.0000 0.0000
0.0000 3.3981 0.0000
0.0000 0.0000 16.4694
Be Al Fe
4 4 8
Direct
0.0000 0.0000 0.0000
0.0000 0.5000 0.2500
0.5000 0.0000 0.7500
0.5000 0.5000 0.5000
0.0000 0.0000 0.5000
0.0000 0.5000 0.7500
0.5000 0.0000 0.2500
0.5000 0.5000 0.0000
0.2309 0.2500 0.1250
0.2500 0.7309 0.3750
0.2500 0.7691 0.8750
0.2691 0.2500 0.6250
0.7309 0.7500 0.6250
0.7500 0.2309 0.8750
0.7500 0.2691 0.3750
0.7691 0.7500 0.1250

[13]
Li2CoCl (SCAN, PBEsol geometry); energy = -8.05 eV per atom; ΔE_f (raw) = -534 meV per atom; energy above the most stable polymorph in this dataset = 0.000 eV per atom
1.0
2.9437 0.0000 0.0000
0.0000 2.9437 0.0000
0.0000 0.0000 6.4054
Li Co Cl
2 1 1
Direct
0.0000 0.0000 0.2260
0.0000 0.0000 0.7740
0.5000 0.5000 0.5000
0.5000 0.5000 0.0000

[14]
Be2CuAu (SCAN, PBEsol geometry); energy = -23.13 eV per atom; ΔE_f = 0.6 eV per formula unit
1.0
2.6693 0.0000 0.0000
-1.3346 2.3117 0.0000
0.0000 0.0000 23.3342
Be Cu Au
6 3 3
Direct
0.0000 0.0000 0.0000
0.0000 0.0000 0.2591
0.3333 0.6667 0.6667
0.3333 0.6667 0.9258
0.6667 0.3333 0.3333
0.6667 0.3333 0.5925
0.0000 0.0000 0.5176
0.3333 0.6667 0.1843
0.6667 0.3333 0.8509
0.0000 0.0000 0.7518
0.3333 0.6667 0.4184
0.6667 0.3333 0.0851

[15]
LiNi2Sb (SCAN, PBEsol geometry); energy = -18.24 eV per atom; ΔE_f (raw) = -239 meV per atom
1.0
3.6963 0.0000 0.0000
0.0000 3.6963 0.0000
0.0000 0.0000 7.4865
Li Ni Sb
2 4 2
Direct
0.0000 0.0000 0.0000
0.5000 0.5000 0.5000
0.0000 0.0000 0.5000
0.0000 0.5000 0.7500
0.5000 0.0000 0.2500
0.5000 0.5000 0.0000
0.0000 0.5000 0.2500
0.5000 0.0000 0.7500

[16]
La6MgSi2S14 (SCAN, PBEsol geometry); energy = -20.24 eV per atom; ΔE_f (raw) = -2050 meV per atom
1.0
10.2623 0.0000 0.0000
-5.1312 8.8874 0.0000
0.0000 0.0000 5.6808
La Mg Si S
6 1 2 14
Direct
0.0245 0.4560 0.0000
0.3089 0.2095 0.5078
0.4316 0.9755 0.0000
0.5440 0.5684 0.0000
0.7905 0.0994 0.5078
0.9006 0.6911 0.5078
0.6667 0.3333 0.2439
0.0000 0.0000 0.0935
0.3333 0.6667 0.5841
0.0000 0.0000 0.7236
0.0764 0.2200 0.2333
0.1435 0.9236 0.2333
0.1894 0.7420 0.7264
0.2580 0.4473 0.7264
0.3333 0.6667 0.2149
0.4215 0.2513 0.0027
0.5056 0.0875 0.4841
0.5527 0.8106 0.7264
0.5819 0.4944 0.4841
0.7487 0.1703 0.0027
0.7800 0.8565 0.2333
0.8297 0.5785 0.0027
0.9125 0.4181 0.4841

[17]
BeNi6Sb (SCAN, PBEsol geometry); energy = -17.46 eV per atom; ΔE_f (raw) = -128 meV per atom
1.0
3.5189 -5.0147 0.0000
3.5189 5.0147 0.0000
0.0000 0.0000 10.0735
Be Ni Sb
4 24 4
Direct
0.0000 0.0000 0.2365
0.0000 0.0000 0.7635
0.2523 0.7477 0.0000
0.7477 0.2523 0.0000
0.0000 0.0000 0.0000
0.0000 0.0000 0.5000
0.1118 0.3690 0.1173
0.1118 0.3690 0.8827
0.1165 0.3593 0.3660
0.1165 0.3593 0.6340
0.2445 0.7555 0.2360
0.2445 0.7555 0.7640
0.3593 0.1165 0.3660
0.3593 0.1165 0.6340
0.3690 0.1118 0.1173
0.3690 0.1118 0.8827
0.5000 0.5000 0.0000
0.5000 0.5000 0.5000
0.6310 0.8882 0.1173
0.6310 0.8882 0.8827
0.6407 0.8835 0.3660
0.6407 0.8835 0.6340
0.7555 0.2445 0.2360
0.7555 0.2445 0.7640
0.8835 0.6407 0.3660
0.8835 0.6407 0.6340
0.8882 0.6310 0.1173
0.8882 0.6310 0.8827
0.2537 0.7463 0.5000
0.5000 0.5000 0.2421
0.5000 0.5000 0.7579
0.7463 0.2537 0.5000

[18]
NaTl2Cd (SCAN, PBEsol geometry); energy = -44.95 eV per atom; ΔE_f = -0.5 eV per formula unit
1.0
7.3504 0.0000 0.0000
0.0000 7.3504 0.0000
0.0000 0.0000 7.3504
Na Tl Cd
4 8 4
Direct
0.0000 0.0000 0.0000
0.0000 0.5000 0.5000
0.5000 0.0000 0.5000
0.5000 0.5000 0.0000
0.2500 0.2500 0.2500
0.2500 0.2500 0.7500
0.2500 0.7500 0.2500
0.2500 0.7500 0.7500
0.7500 0.2500 0.2500
0.7500 0.2500 0.7500
0.7500 0.7500 0.2500
0.7500 0.7500 0.7500
0.0000 0.0000 0.5000
0.0000 0.5000 0.0000
0.5000 0.0000 0.0000
0.5000 0.5000 0.5000

[19]
BeReHg3 (SCAN, PBEsol geometry); energy = -54.56 eV per atom; ΔE_f = 7.2 eV per formula unit
1.0
5.2341 0.0000 0.0000
0.0000 5.2341 0.0000
0.0000 0.0000 5.2341
Be Re Hg
1 1 3
Direct
0.0000 0.0000 0.0000
0.5000 0.5000 0.5000
0.0000 0.5000 0.5000
0.5000 0.0000 0.5000
0.5000 0.5000 0.0000

[20]
CaSc2Cu (SCAN, PBEsol geometry); energy = -13.37 eV per atom; ΔE_f = -0.2 eV per formula unit
1.0
3.3038 0.0000 0.0000
0.0000 3.3038 0.0000
0.0000 0.0000 8.4405
Ca Sc Cu
1 2 1
Direct
0.0000 0.0000 0.0000
0.0000 0.0000 0.5990
0.5000 0.5000 0.3394
0.5000 0.5000 0.7622